--- one ---
A relaxed ScTi2Sb2 crystal. Source: the Alexandria database, functional GGA-PBE.

Calculated values
Space-group type: I4/mmm, No. 139

```
ScTi2Sb2
1.0
-2.020 2.020 6.640
2.020 -2.020 6.640
2.020 2.020 -6.640
Sc Ti Sb
1 2 2
Cartesian
0.000 0.000 0.000
2.020 0.000 3.320
0.000 2.020 3.320
0.000 0.000 5.196
0.000 0.000 8.084
```

=====

--- two ---
A relaxed ScTi2Sb2 crystal. Source: the Alexandria database, functional GGA-PBE.

Calculated values
Space-group type: P4/mbm, No. 127

```
ScTi2Sb2
1.0
7.593 0.000 0.000
0.000 7.593 0.000
0.000 0.000 3.594
Sc Ti Sb
2 4 4
Cartesian
0.000 0.000 0.000
3.796 3.796 0.000
1.100 2.697 1.797
2.697 6.493 1.797
4.896 1.100 1.797
6.493 4.896 1.797
1.130 4.926 0.000
2.667 1.130 0.000
4.926 6.463 0.000
6.463 2.667 0.000
```

=====

It is two that is most stable; the runner-up trails by 0.120 eV/atom.

=====

--- one ---
A relaxed ScTi3Sb crystal. Source: the Alexandria database, functional GGA-PBE.

Calculated values
Space-group type: Pm-3m, No. 221

```
ScTi3Sb
1.0
5.013 0.000 0.000
0.000 5.013 0.000
0.000 0.000 5.013
Sc Ti Sb
1 3 1
Cartesian
0.000 0.000 0.000
0.000 2.507 2.507
2.507 0.000 2.507
2.507 2.507 0.000
2.507 2.507 2.507
```

=====

--- two ---
A relaxed ScTi3Sb crystal. Source: the Alexandria database, functional GGA-PBE.

Calculated values
Space-group type: Pm-3m, No. 221

```
ScTi3Sb
1.0
4.727 0.000 0.000
0.000 4.727 0.000
0.000 0.000 4.727
Sc Ti Sb
1 3 1
Cartesian
0.000 0.000 0.000
0.000 0.000 2.364
0.000 2.364 0.000
2.364 0.000 0.000
2.364 2.364 2.364
```

=====

It is one that is most stable; the runner-up trails by 0.317 eV/atom.

=====

--- one ---
A relaxed ScTiSb2 crystal. Source: the Alexandria database, functional GGA-PBE.

Calculated values
Space-group type: Fm-3m, No. 225

```
ScTiSb2
1.0
0.000 3.531 3.531
3.531 0.000 3.531
3.531 3.531 0.000
Sc Ti Sb
1 1 2
Cartesian
0.000 0.000 0.000
3.531 3.531 3.531
1.766 1.766 1.766
5.297 5.297 5.297
```

=====

--- two ---
A relaxed ScTiSb2 crystal. Source: the Alexandria database, functional GGA-PBE.

Calculated values
Space-group type: R3m, No. 160

```
ScTiSb2
1.0
2.008 1.160 6.828
-2.008 1.160 6.828
0.000 -2.319 6.828
Sc Ti Sb
1 1 2
Cartesian
0.000 0.000 0.000
0.000 0.000 3.536
0.000 0.000 11.867
0.000 0.000 15.545
```

=====

It is two that is most stable; the runner-up trails by 0.168 eV/atom.

=====

--- one ---
A relaxed ScTiSb2 crystal. Source: the Alexandria database, functional GGA-PBE.

Calculated values
Space-group type: R-3m, No. 166

```
ScTiSb2
1.0
2.019 1.166 6.683
-2.019 1.166 6.683
0.000 -2.332 6.683
Sc Ti Sb
1 1 2
Cartesian
0.000 0.000 0.000
0.000 0.000 10.025
0.000 0.000 4.925
0.000 0.000 15.124
```

=====

--- two ---
A relaxed ScTiSb2 crystal. Source: the Alexandria database, functional GGA-PBE.

Calculated values
Space-group type: I-42d, No. 122

```
ScTiSb2
1.0
-3.241 3.241 6.363
3.241 -3.241 6.363
3.241 3.241 -6.363
Sc Ti Sb
2 2 4
Cartesian
0.000 0.000 0.000
0.000 3.241 3.182
3.241 0.000 3.182
0.000 0.000 6.363
1.621 -1.493 4.772
1.748 1.621 1.591
1.621 4.735 -1.591
1.493 1.621 7.954
```

=====

It is one that is most stable; the runner-up trails by 0.536 eV/atom.

=====

--- one ---
A relaxed ScTl3Sb crystal. Source: the Alexandria database, functional GGA-PBE.

Calculated values
Space-group type: Pm-3m, No. 221

```
ScTl3Sb
1.0
5.725 0.000 0.000
0.000 5.725 0.000
0.000 0.000 5.725
Sc Tl Sb
1 3 1
Cartesian
0.000 0.000 0.000
0.000 2.863 2.863
2.863 0.000 2.863
2.863 2.863 0.000
2.863 2.863 2.863
```

=====

--- two ---
A relaxed ScTl3Sb crystal. Source: the Alexandria database, functional GGA-PBE.

Calculated values
Space-group type: Pm-3m, No. 221

```
ScTl3Sb
1.0
5.632 0.000 0.000
0.000 5.632 0.000
0.000 0.000 5.632
Sc Tl Sb
1 3 1
Cartesian
0.000 0.000 0.000
0.000 0.000 2.816
0.000 2.816 0.000
2.816 0.000 0.000
2.816 2.816 2.816
```

=====

It is two that is most stable; the runner-up trails by 0.209 eV/atom.

=====

--- one ---
A relaxed Sc2Tl2Sb crystal. Source: the Alexandria database, functional GGA-PBE.

Calculated values
Space-group type: I4/mmm, No. 139

```
Sc2Tl2Sb
1.0
-2.388 2.388 6.189
2.388 -2.388 6.189
2.388 2.388 -6.189
Sc Tl Sb
2 2 1
Cartesian
2.388 0.000 3.094
0.000 2.388 3.094
0.000 0.000 1.385
0.000 0.000 10.992
0.000 0.000 6.189
```

=====

--- two ---
A relaxed Sc2Tl2Sb crystal. Source: the Alexandria database, functional GGA-PBE.

Calculated values
Space-group type: P4/mbm, No. 127

```
Sc2Tl2Sb
1.0
7.505 0.000 0.000
0.000 7.505 0.000
0.000 0.000 4.625
Sc Tl Sb
4 4 2
Cartesian
1.195 2.558 0.000
2.558 6.311 0.000
4.947 1.195 0.000
6.311 4.947 0.000
1.120 4.872 2.313
2.633 1.120 2.313
4.872 6.386 2.313
6.386 2.633 2.313
0.000 0.000 0.000
3.753 3.753 0.000
```

=====

--- three ---
A relaxed Sc2Tl2Sb crystal. Source: the Alexandria database, functional GGA-PBE.

Calculated values
Space-group type: P4/mbm, No. 127

```
Sc2Tl2Sb
1.0
8.216 0.000 0.000
0.000 8.216 0.000
0.000 0.000 3.769
Sc Tl Sb
4 4 2
Cartesian
1.435 2.673 0.000
2.673 6.782 0.000
5.543 1.435 0.000
6.782 5.543 0.000
1.062 5.170 1.884
3.047 1.062 1.884
5.170 7.155 1.884
7.155 3.047 1.884
0.000 0.000 1.884
4.108 4.108 1.884
```

=====

It is two that is most stable; the runner-up trails by 0.209 eV/atom.